1.
K2CdBi PBE-GGA optimized geometry; total magnetization = 0.03 μB/f.u.; energy relative to the elements = -153 meV per atom
1.0
-2.748 2.530 -0.872
-4.110 -3.292 3.401
1.495 3.371 5.069
K Bi Cd
2 1 1
direct
0.000 0.000 0.500
0.000 0.500 0.000
0.500 0.500 0.500
0.500 0.000 0.000

2.
Sr2In5Pd3 PBE-GGA optimized geometry; total magnetization = 0.00 μB/f.u.; energy relative to the elements = -554 meV per atom
1.0
6.294 0.000 0.000
3.147 8.906 0.310
3.147 1.680 8.751
Sr In Pd
4 10 6
direct
0.152 0.568 0.129
0.652 0.129 0.568
0.848 0.432 0.871
0.348 0.871 0.432
0.421 0.258 0.900
0.921 0.900 0.258
0.579 0.742 0.100
0.079 0.100 0.742
0.455 0.795 0.795
0.545 0.205 0.205
0.750 0.500 0.500
0.250 0.500 0.500
0.045 0.205 0.205
0.955 0.795 0.795
0.353 0.557 0.738
0.853 0.738 0.557
0.647 0.443 0.262
0.147 0.262 0.443
0.250 0.000 0.000
0.750 0.000 0.000

3.
Ba2BeMo PBE-GGA optimized geometry; total magnetization = 1.79 μB/f.u.; energy relative to the elements = 1350 meV per atom
1.0
-6.842 -4.618 6.031
-4.936 -7.589 4.750
-3.642 -5.656 7.698
Be Mo Ba
1 1 2
direct
0.250 0.250 0.250
0.750 0.750 0.750
0.999 0.999 0.999
0.501 0.501 0.501

4.
Eu2DyHg PBE-GGA optimized geometry; total magnetization = 15.43 μB/f.u.; energy relative to the elements = 63 meV per atom
1.0
-2.831 -0.720 -2.144
-2.347 -2.606 0.912
-8.331 6.948 5.607
Eu Hg Dy
2 1 1
direct
0.096 0.096 0.713
0.904 0.904 0.287
0.500 0.500 0.500
0.000 0.000 0.000

5.
Cd5Hg4Bi PBE-GGA optimized geometry; total magnetization = 0.00 μB/f.u.; energy relative to the elements = 43 meV per atom
1.0
3.836 0.000 0.000
0.000 3.836 0.000
0.000 0.000 16.864
Cd Hg Bi
5 4 1
direct
0.500 0.500 0.114
0.500 0.500 0.306
0.500 0.500 0.500
0.500 0.500 0.694
0.500 0.500 0.886
0.000 0.000 0.208
0.000 0.000 0.402
0.000 0.000 0.598
0.000 0.000 0.792
0.000 0.000 0.000

6.
LaPAu2 PBE-GGA optimized geometry; total magnetization = 0.00 μB/f.u.; energy relative to the elements = -618 meV per atom
1.0
-1.874 -2.875 -2.986
3.547 -1.707 -0.583
-0.270 -3.728 3.758
Au La P
2 1 1
direct
0.000 0.787 0.997
0.000 0.713 0.503
0.500 0.250 0.250
0.500 0.750 0.750

7.
RbOsI2O PBE-GGA optimized geometry; ΔE_f (raw) = -0.469 eV per atom; total magnetization = 0.43 μB/f.u.
1.0
5.929 0.000 0.000
0.000 5.929 0.000
0.000 0.000 3.809
I Os O Rb
2 1 1 1
direct
0.000 0.500 0.000
0.500 0.000 0.000
0.000 0.000 0.000
0.000 0.000 0.500
0.500 0.500 0.500

8.
AgSb2As2 PBE-GGA optimized geometry; ΔE_f (raw) = 0.291 eV per atom; total magnetization = 0.00 μB/f.u.
1.0
-4.757 1.269 -6.336
-5.112 -5.551 2.727
-1.890 2.705 1.961
Sb As Ag
4 4 2
direct
0.331 0.831 0.000
0.831 0.669 0.000
0.669 0.169 0.000
0.169 0.331 0.000
0.163 0.663 0.500
0.663 0.837 0.500
0.837 0.337 0.500
0.337 0.163 0.500
0.000 0.000 0.000
0.500 0.500 0.000

9.
Hg2Se PBE-GGA optimized geometry; ΔE_f (raw) = -0.024 eV per atom; total magnetization = 0.00 μB/f.u.
1.0
3.874 0.909 1.244
0.909 3.874 1.244
-1.331 -1.331 4.734
Hg Se
2 1
direct
0.168 0.168 0.317
0.832 0.832 0.683
0.500 0.500 0.000

10.
LiHf2Ni9 PBE-GGA optimized geometry; total magnetization = 1.77 μB/f.u.; energy relative to the elements = -262 meV per atom
1.0
4.826 0.000 0.000
2.413 4.179 0.000
2.413 1.393 7.813
Li Hf Ni
1 2 9
direct
0.000 0.000 0.000
0.863 0.863 0.410
0.137 0.137 0.590
0.666 0.666 0.001
0.334 0.334 0.999
0.500 0.500 0.500
0.413 0.413 0.254
0.921 0.413 0.254
0.413 0.921 0.254
0.587 0.587 0.746
0.587 0.079 0.746
0.079 0.587 0.746

11.
Li11In9Hg4 PBE-GGA optimized geometry; total magnetization = 0.00 μB/f.u.; energy relative to the elements = -281 meV per atom
1.0
3.204 0.000 0.000
0.000 11.771 -4.607
0.000 0.389 12.634
Li In Hg
11 9 4
direct
0.000 0.583 0.943
0.000 0.417 0.057
0.000 0.943 0.583
0.000 0.057 0.417
0.000 0.634 0.366
0.000 0.366 0.634
0.000 0.845 0.155
0.000 0.155 0.845
0.000 0.000 0.000
0.000 0.723 0.723
0.000 0.277 0.277
0.500 0.639 0.151
0.500 0.361 0.849
0.500 0.151 0.639
0.500 0.849 0.361
0.500 0.787 0.942
0.500 0.213 0.058
0.500 0.942 0.787
0.500 0.058 0.213
0.500 0.500 0.500
0.500 0.555 0.753
0.500 0.445 0.247
0.500 0.753 0.555
0.500 0.247 0.445

12.
BrF PBE-GGA optimized geometry; ΔE_f (raw) = -0.387 eV per atom; total magnetization = 0.00 μB/f.u.
1.0
10.343 0.000 0.000
0.000 10.343 0.000
0.000 0.000 4.322
Br F
8 8
direct
0.394 0.300 0.000
0.606 0.700 0.000
0.700 0.394 0.000
0.300 0.606 0.000
0.894 0.800 0.500
0.106 0.200 0.500
0.200 0.894 0.500
0.800 0.106 0.500
0.445 0.783 0.000
0.555 0.217 0.000
0.217 0.445 0.000
0.783 0.555 0.000
0.945 0.283 0.500
0.055 0.717 0.500
0.717 0.945 0.500
0.283 0.055 0.500

13.
MgTcCI2 PBE-GGA optimized geometry; ΔE_f (raw) = 0.598 eV per atom; total magnetization = 0.00 μB/f.u.
1.0
5.583 0.000 0.000
0.000 3.853 0.000
0.000 0.000 5.583
I C Mg Tc
2 1 1 1
direct
0.000 0.000 0.500
0.500 0.000 0.000
0.000 0.500 0.000
0.500 0.500 0.500
0.000 0.000 0.000

14.
P2PtSe2 PBE-GGA optimized geometry; ΔE_f (raw) = 0.525 eV per atom; total magnetization = 0.00 μB/f.u.
1.0
-6.703 -0.080 2.803
-2.761 -1.082 -6.633
0.255 -3.743 0.504
P Se Pt
4 4 2
direct
0.106 0.606 0.500
0.606 0.894 0.500
0.894 0.394 0.500
0.394 0.106 0.500
0.271 0.771 0.000
0.771 0.729 0.000
0.729 0.229 0.000
0.229 0.271 0.000
0.000 0.000 0.000
0.500 0.500 0.000

15.
OsRu2Pb PBE-GGA optimized geometry; total magnetization = 0.00 μB/f.u.; energy relative to the elements = 635 meV per atom
1.0
-6.092 -2.166 6.689
-7.048 -3.955 4.607
-4.859 -4.775 6.335
Os Pb Ru
1 1 2
direct
0.250 0.250 0.250
0.750 0.750 0.750
0.992 0.992 0.992
0.508 0.508 0.508

16.
Cs3Sm2PaSe6 PBE-GGA optimized geometry; ΔE_f (raw) = -1.571 eV per atom; total magnetization = 1.66 μB/f.u.
1.0
7.473 -0.001 0.001
-3.736 6.473 0.001
-1.245 -2.157 8.423
Cs Sm Pa Se
3 2 1 6
direct
0.169 0.831 0.500
0.831 0.169 0.500
0.500 0.500 0.500
0.334 0.666 0.000
0.666 0.334 0.000
0.000 0.000 0.000
0.937 0.611 0.811
0.737 0.737 0.190
0.063 0.389 0.189
0.611 0.937 0.811
0.263 0.263 0.810
0.389 0.063 0.189

17.
NaAcSi PBE-GGA optimized geometry; ΔE_f (raw) = -0.328 eV per atom; total magnetization = 0.00 μB/f.u.
1.0
4.377 0.000 -0.078
0.000 4.041 -0.005
-2.036 0.015 11.227
Na Ac Si
2 2 2
direct
0.208 0.250 0.913
0.792 0.750 0.087
0.417 0.250 0.338
0.583 0.750 0.662
0.031 0.250 0.561
0.969 0.750 0.439

18.
Tb5PmSn4 PBE-GGA optimized geometry; total magnetization = 0.27 μB/f.u.; energy relative to the elements = -419 meV per atom
1.0
-3.162 3.064 -0.486
-3.317 -4.375 -5.997
-2.637 -4.736 7.483
Tb Pm Sn
5 1 4
direct
0.796 0.697 0.592
0.860 0.277 0.721
0.140 0.723 0.279
0.500 0.500 0.000
0.204 0.303 0.408
0.500 0.000 0.000
0.311 0.990 0.622
0.965 0.721 0.929
0.689 0.010 0.378
0.035 0.279 0.071

19.
ZrCrS3 PBE-GGA optimized geometry; ΔE_f (raw) = -0.315 eV per atom; total magnetization = 3.31 μB/f.u.
1.0
-1.214 2.063 -3.811
-1.202 -3.963 -1.763
-4.163 0.542 1.620
Cr S Zr
1 3 1
direct
0.000 0.000 0.000
0.000 0.500 0.000
0.000 0.000 0.500
0.500 0.000 0.000
0.500 0.500 0.500

20.
AlSi3O PBE-GGA optimized geometry; ΔE_f (raw) = 0.167 eV per atom; total magnetization = 0.00 μB/f.u.
1.0
4.156 0.000 0.000
0.000 4.156 0.000
0.000 0.000 4.156
Si Al O
3 1 1
direct
0.000 0.500 0.000
0.000 0.000 0.500
0.500 0.000 0.000
0.500 0.500 0.500
0.000 0.000 0.000

21.
LaGaTc3 PBE-GGA optimized geometry; total magnetization = 5.82 μB/f.u.; energy relative to the elements = 2107 meV per atom
1.0
4.886 0.000 0.000
0.000 4.886 0.000
0.000 0.000 4.886
Tc Ga La
3 1 1
direct
0.000 0.500 0.000
0.000 0.000 0.500
0.500 0.000 0.000
0.500 0.500 0.500
0.000 0.000 0.000

22.
TaTl2In PBE-GGA optimized geometry; total magnetization = 1.87 μB/f.u.; energy relative to the elements = 842 meV per atom
1.0
-1.516 2.201 4.461
-1.298 -2.979 4.059
3.091 -0.194 4.177
In Ta Tl
1 1 2
direct
0.500 0.500 0.500
0.750 0.750 0.750
0.000 0.000 0.000
0.250 0.250 0.250

23.
TlNiI2 PBE-GGA optimized geometry; ΔE_f (raw) = -0.181 eV per atom; total magnetization = 0.97 μB/f.u.
1.0
-1.719 7.618 -2.307
-7.449 -0.708 3.213
-3.228 4.804 3.895
I Ni Tl
4 2 2
direct
0.528 0.125 0.250
0.222 0.625 0.250
0.375 0.472 0.750
0.875 0.778 0.750
0.500 0.500 0.000
0.250 0.750 0.500
0.000 0.000 0.000
0.750 0.250 0.500

24.
La5PrYTm2 PBE-GGA optimized geometry; total magnetization = 0.00 μB/f.u.; energy relative to the elements = 130 meV per atom
1.0
-3.891 -3.720 -1.180
1.032 -0.529 11.129
-7.545 7.556 1.059
La Pr Y Tm
10 2 2 4
direct
0.378 0.756 0.008
0.721 0.442 0.817
0.500 0.000 0.758
0.279 0.559 0.700
0.001 0.001 0.508
0.622 0.244 0.508
0.279 0.558 0.317
0.500 0.000 0.258
0.721 0.441 0.200
0.999 0.999 0.008
0.784 0.568 0.508
0.216 0.432 0.008
0.600 0.200 0.008
0.400 0.800 0.508
0.888 0.775 0.754
0.113 0.225 0.762
0.112 0.225 0.254
0.887 0.775 0.262